Compound: ZrZn2Tc
Source: Alexandria via LeMat-Bulk
Functional: PBE-GGA
Structure: relaxed

POSCAR file:
```
ZrZn2Tc
1.0
-0.2911 -4.3156 -1.3812
3.5766 -2.0060 -1.9495
2.2668 -3.2508 2.2160
Zr Zn Tc
1 2 1
direct
0.7500 0.7500 0.7500
0.0000 0.0000 0.0000
0.2500 0.2500 0.2500
0.5000 0.5000 0.5000
```

Values from the calculation:
Its calculated density is 8.0 Mg/m³. The volume is 66.2 Å³ per cell. The total magnetization comes out at 0.00 μB/f.u. The calculation puts the density of states at the Fermi level at 3.24 states/eV/cell. The calculation puts the relative energy among the computed polymorphs at 246 meV/atom. For the calculated formation energy, the calculation gives 0.026 eV per atom.

---

Compound: RuPbBr2
Source: Alexandria via LeMat-Bulk
Functional: PBE-GGA
Structure: relaxed

POSCAR file:
```
RuPbBr2
1.0
-1.9117 5.6363 -3.2733
-4.6847 4.6495 -1.6034
1.6961 3.1672 4.6882
Br Pb Ru
2 1 1
direct
0.2247 0.2247 0.4592
0.9639 0.9639 0.9547
0.4765 0.4765 0.4399
0.8348 0.8348 0.6462
```

Values from the calculation:
Its calculated density is 5.9 Mg/m³. The volume is 131.5 Å³ per cell. The total magnetization comes out at 0.00 μB/f.u. The calculation puts the density of states at the Fermi level at 1.12 states/eV/cell. The calculation puts the relative energy among the computed polymorphs at 81 meV/atom.

---

Compound: Dy12Ga3H5
Source: Alexandria via LeMat-Bulk
Functional: PBE-GGA
Structure: relaxed

POSCAR file:
```
Dy12Ga3H5
1.0
13.2205 0.0000 0.0000
-4.4068 12.4644 0.0000
-4.4068 -6.2322 10.7945
Ga Dy H
12 48 20
direct
0.8750 0.1250 0.2500
0.3750 0.6250 0.2500
0.1250 0.8750 0.7500
0.7500 0.8750 0.6250
0.2500 0.6250 0.8750
0.7500 0.3750 0.1250
0.6250 0.3750 0.7500
0.3750 0.7500 0.6250
0.1250 0.2500 0.8750
0.2500 0.1250 0.3750
0.8750 0.7500 0.1250
0.6250 0.2500 0.3750
0.5198 0.2104 0.1143
0.4055 0.0198 0.3094
0.8094 0.9055 0.0198
0.5945 0.9802 0.6906
0.6906 0.4802 0.5945
0.5961 0.7104 0.6906
0.4039 0.1143 0.5945
0.6906 0.2104 0.5961
0.5961 0.8857 0.4055
0.8857 0.2896 0.4802
0.2104 0.5198 0.6143
0.4055 0.3857 0.5961
0.7104 0.1143 0.0198
0.6143 0.5945 0.9039
0.4802 0.6906 0.0945
0.3857 0.9802 0.7896
0.0198 0.4055 0.8094
0.0198 0.6143 0.7104
0.9055 0.8094 0.5198
0.0945 0.1906 0.4802
0.7104 0.5961 0.1906
0.9802 0.3857 0.2896
0.0945 0.9039 0.1143
0.5198 0.3094 0.9055
0.4802 0.7896 0.8857
0.3094 0.7896 0.4039
0.2104 0.6906 0.0961
0.2896 0.4039 0.8094
0.6143 0.0198 0.2104
0.5945 0.6143 0.4039
0.8094 0.9039 0.2896
0.0961 0.1906 0.2104
0.9039 0.0945 0.6143
0.1143 0.4039 0.0945
0.8857 0.5961 0.9055
0.1906 0.0945 0.9802
0.9039 0.8094 0.7896
0.3094 0.5198 0.4055
0.9802 0.5945 0.1906
0.1906 0.0961 0.7104
0.4039 0.2896 0.3094
0.1143 0.7104 0.5198
0.9055 0.0961 0.8857
0.7896 0.4802 0.3857
0.2896 0.8857 0.9802
0.3857 0.4055 0.0961
0.0961 0.9055 0.3857
0.7896 0.3094 0.9039
0.1250 0.3750 0.2500
0.5000 0.5000 0.5000
0.6250 0.8750 0.2500
0.2500 0.8750 0.1250
0.0000 0.0000 0.0000
0.3750 0.1250 0.7500
0.7500 0.1250 0.8750
0.8750 0.6250 0.7500
0.5000 0.0000 0.0000
0.5000 0.0000 0.5000
0.7500 0.6250 0.3750
0.6250 0.7500 0.8750
0.0000 0.5000 0.0000
0.0000 0.0000 0.5000
0.0000 0.5000 0.5000
0.1250 0.7500 0.3750
0.5000 0.5000 0.0000
0.2500 0.3750 0.6250
0.8750 0.2500 0.6250
0.3750 0.2500 0.1250
```

Values from the calculation:
Its calculated density is 8.1 Mg/m³. The volume is 1778.8 Å³ per cell. The total magnetization comes out at 0.00 μB/f.u. The calculation puts the density of states at the Fermi level at 69.05 states/eV/cell. The value obtained for the total energy is -349.4 eV for the cell shown.